First-principles (PBE-GGA) data for a relaxed structure of MgNpGe, as listed in the Open Quantum Materials Database.

Cell: 6.688 6.688 6.688 Å, 90.00 90.00 90.00°
Space group F-43m (No. 216)
One atom of each set of equivalent atoms:
1 Mg 0.000 0.000 0.000
2 Np 0.000 0.000 0.500
3 Ge 0.250 0.250 0.250

## Properties
- Total energy: -6.2462 eV/atom
- Calculated density: 7.42 Mg/m³